Ca3Tl3CoO8 | Alexandria via LeMat-Bulk | PBE with a Hubbard U | relaxed; calculated total energy = -5.4131 eV per atom
1.0
6.818 0.000 0.000
-3.409 5.904 -0.021
0.000 -3.917 5.517
Co Tl O Ca
1 3 8 3
Cartesian
0.000 -1.958 2.759
1.704 0.994 2.748
3.409 -1.958 2.759
-1.704 0.994 2.748
1.869 3.060 3.948
1.540 -1.073 1.548
0.000 1.972 1.255
3.409 0.015 4.241
5.277 -1.073 1.548
0.000 -0.175 3.960
3.409 2.162 1.536
-1.869 3.060 3.948
1.704 2.952 -0.010
-1.704 2.952 -0.010
0.000 0.000 0.000